Computed, not measured: crystalline PmLuPbAu at its relaxed geometry at the PBE-GGA level of DFT.

Properties
SG ... F-43m (216)
E_form ... -0.576 eV per atom
DOS(E_F) ... 0.9847 states/eV per atom
Spin magnetization ... 0.61 μB/cell

extended XYZ file:
```
4
Lattice="0.000 3.737 3.737 3.737 0.000 3.737 3.737 3.737 0.000" Properties=species:S:1:pos:R:3 pbc="T T T"
Pm 0.000 0.000 0.000
Lu 3.737 3.737 3.737
Pb 1.868 1.868 1.868
Au 5.605 5.605 5.605
```